Entry 1:
First-principles (PBE) data for a relaxed structure of La3ScCl, as listed in Alexandria via LeMat-Bulk.

Cell lengths 5.518, 5.518, 5.518 Å; angles 90.00, 90.00, 90.00 degrees
Positions (direct):
La: 0.000 0.000 0.500
La: 0.000 0.500 0.000
La: 0.500 0.000 0.000
Sc: 0.500 0.500 0.500
Cl: 0.000 0.000 0.000

Computed properties:
total energy	-25.284	eV per cell
M_tot	0.0	μB per formula unit
E above lowest polymorph	0	meV/atom
ΔE_f (raw)	-2.323	eV/f.u.

Entry 2:
First-principles (PBE) data for a relaxed structure of BeTc2Os, as listed in Alexandria via LeMat-Bulk.

Cell lengths 8.422, 8.422, 8.422 Å; angles 18.71, 18.71, 18.71 degrees
Positions (direct):
Be: 0.000 0.000 0.000
Tc: 0.255 0.255 0.255
Tc: 0.745 0.745 0.745
Os: 0.500 0.500 0.500

Computed properties:
total energy	-35.156	eV per cell
energy of formation	0.133	eV/atom
M_tot	0.0	μB per formula unit

Entry 3:
First-principles (PBE) data for a relaxed structure of CuSi4Tc, as listed in Alexandria via LeMat-Bulk.

Cell lengths 4.850, 4.850, 4.850 Å; angles 60.00, 60.00, 60.00 degrees
Positions (direct):
Cu: 0.000 0.000 0.000
Si: 0.375 0.375 0.375
Si: 0.375 0.375 0.874
Si: 0.375 0.874 0.375
Si: 0.874 0.375 0.375
Tc: 0.750 0.750 0.750

Computed properties:
total energy	-33.623	eV per cell
M_tot	0.0	μB per formula unit
ΔE_f (raw)	2.532	eV/f.u.

no.,Fermi-level density of states (states/eV/atom)
1,0.94
2,1.21
3,0.62